No. 1
A plane-wave DFT calculation with PBE was carried out for a geometry-optimized PmSnAsAu structure.

Results
The space-group type is No. 216. The value obtained for the energy relative to the elements is -53.3 kJ per mole of atoms.

The structure in POSCAR format:
```
PmSnAsAu
1.0
5.114 0.000 0.000
2.557 4.429 0.000
2.557 1.476 4.176
As Pm Sn Au
1 1 1 1
Cartesian
5.114 2.953 2.088
7.672 4.429 3.132
2.557 1.476 1.044
0.000 0.000 0.000
```

***

No. 2
A plane-wave DFT calculation with PBE was carried out for a geometry-optimized SrPmAsAu structure.

Results
The space-group type is No. 216. The value obtained for the energy relative to the elements is -82.1 kJ per mole of atoms.

The structure in POSCAR format:
```
SrPmAsAu
1.0
5.296 0.000 0.000
2.648 4.587 0.000
2.648 1.529 4.325
Sr As Pm Au
1 1 1 1
Cartesian
2.648 1.529 1.081
5.296 3.058 2.162
7.945 4.587 3.243
0.000 0.000 0.000
```

***

No. 3
A plane-wave DFT calculation with PBE was carried out for a geometry-optimized Pm8Te4As3Au structure.

Results
The space-group type is No. 166. For the energy, the calculation gives -5.652 eV per atom.

The structure in POSCAR format:
```
Pm8Te4As3Au
1.0
-6.213 -5.058 3.349
3.939 -7.082 -3.387
4.489 5.354 5.156
Te Pm As Au
4 8 3 1
Cartesian
-0.862 0.148 4.253
-3.107 -2.529 1.674
2.244 2.677 2.578
0.000 0.000 0.000
1.822 -0.514 2.604
-1.323 -3.019 4.243
-3.541 -5.665 1.696
5.755 -1.121 3.422
3.537 -3.766 0.875
0.392 -6.271 2.514
-0.471 -3.166 0.041
2.685 -3.620 5.077
4.214 -0.864 0.885
1.107 -3.393 2.559
-1.137 -6.070 -0.019
1.970 -3.541 -1.693
```

***

No. 4
A plane-wave DFT calculation with PBE was carried out for a geometry-optimized PmThAsAu structure.

Results
The space-group type is No. 216. The value obtained for the energy relative to the elements is -75.0 kJ per mole of atoms.

The structure in POSCAR format:
```
PmThAsAu
1.0
-2.141 2.709 3.891
-4.974 1.493 -0.299
-3.571 -2.223 3.060
Th As Au Pm
1 1 1 1
Cartesian
-2.671 0.495 1.663
-5.343 0.989 3.326
0.000 0.000 0.000
-8.014 1.484 4.989
```

***

No. 5
A plane-wave DFT calculation with PBE was carried out for a geometry-optimized PmTlAsAu structure.

Results
The space-group type is No. 216. The value obtained for the energy relative to the elements is -47.8 kJ per mole of atoms.

The structure in POSCAR format:
```
PmTlAsAu
1.0
5.188 0.000 0.000
2.594 4.493 0.000
2.594 1.498 4.236
Pm As Tl Au
1 1 1 1
Cartesian
2.594 1.498 1.059
5.188 2.995 2.118
7.781 4.493 3.177
0.000 0.000 0.000
```

***

No. 6
A plane-wave DFT calculation with PBE was carried out for a geometry-optimized PmZnAsAu structure.

Results
The space-group type is No. 216. The value obtained for the energy relative to the elements is -49.0 kJ per mole of atoms.

The structure in POSCAR format:
```
PmZnAsAu
1.0
4.958 0.000 0.000
2.479 4.294 0.000
2.479 1.431 4.048
Au Pm As Zn
1 1 1 1
Cartesian
2.479 1.431 1.012
4.958 2.863 2.024
7.438 4.294 3.036
0.000 0.000 0.000
```

***

No. 7
A plane-wave DFT calculation with PBE was carried out for a geometry-optimized Pr6As5Au structure.

Results
The space-group type is No. 12. The value obtained for the energy relative to the elements is -131.0 kJ per mole of atoms.

The structure in POSCAR format:
```
Pr6As5Au
1.0
-2.124 -1.441 7.031
6.055 -1.345 4.193
3.446 5.627 3.514
As Pr Au
5 6 1
Cartesian
6.334 2.850 5.136
5.131 0.003 8.173
1.966 -1.393 5.612
2.247 2.837 6.563
3.167 1.431 2.570
2.898 -2.062 8.309
7.233 2.067 7.920
1.033 -0.724 2.914
0.144 0.773 6.817
3.299 2.008 9.342
4.079 0.832 5.395
0.000 0.000 0.000
```

***

No. 8
A plane-wave DFT calculation with PBE was carried out for a geometry-optimized Pr2AsAu structure.

Results
The space-group type is No. 63. The value obtained for the energy relative to the elements is -106.9 kJ per mole of atoms.

The structure in POSCAR format:
```
Pr2AsAu
1.0
4.364 0.000 0.000
0.000 4.124 -0.733
0.000 0.089 12.480
Au Pr As
2 4 2
Cartesian
1.091 1.971 11.100
3.273 2.242 0.648
1.091 0.298 1.681
3.273 3.915 10.067
1.091 1.336 7.525
3.273 2.877 4.223
1.091 0.812 4.573
3.273 3.401 7.174
```

***

No. 9
A plane-wave DFT calculation with PBE was carried out for a geometry-optimized Pr2AsAu structure.

Results
The space-group type is No. 160. The value obtained for the energy relative to the elements is -100.0 kJ per mole of atoms.

The structure in POSCAR format:
```
Pr2AsAu
1.0
-3.907 -0.776 1.365
-1.422 -3.959 0.173
0.806 -2.198 7.550
Pr Au As
2 1 1
Cartesian
0.203 -2.053 5.908
-1.177 -1.722 2.145
-2.260 -3.467 4.547
-3.550 -3.158 1.031
```

***

No. 10
A plane-wave DFT calculation with PBE was carried out for a geometry-optimized Pr2As3Au2 structure.

Results
The space-group type is No. 12. The value obtained for the energy relative to the elements is -81.4 kJ per mole of atoms.

The structure in POSCAR format:
```
Pr2As3Au2
1.0
-2.320 -0.005 3.735
-7.880 -0.020 -2.307
-1.727 -9.582 1.501
Pr As Au
4 6 4
Cartesian
-2.278 -3.292 1.168
-7.309 -0.684 0.635
-4.618 -8.923 2.294
-9.649 -6.315 1.761
-7.762 -4.411 0.348
-2.831 -1.107 3.416
-7.363 -7.890 3.179
-4.165 -5.197 2.581
-9.096 -8.501 -0.487
-4.564 -1.718 -0.250
-6.425 -6.460 1.175
-9.137 -2.994 2.084
-5.502 -3.148 1.754
-2.790 -6.614 0.845
```

***

No. 11
A plane-wave DFT calculation with PBE was carried out for a geometry-optimized Pr2AsAu structure.

Results
The space-group type is No. 166. The value obtained for the energy relative to the elements is -99.1 kJ per mole of atoms.

The structure in POSCAR format:
```
Pr2AsAu
1.0
4.274 0.000 0.000
2.137 3.702 0.000
2.137 1.234 7.336
As Au Pr
1 1 2
Cartesian
0.000 0.000 0.000
4.274 2.468 3.668
2.137 1.234 1.723
6.412 3.702 5.614
```

***

No. 12
A plane-wave DFT calculation with PBE was carried out for a geometry-optimized Pr2AsAu3 structure.

Results
The space-group type is No. 69. The value obtained for the energy relative to the elements is -83.2 kJ per mole of atoms.

The structure in POSCAR format:
```
Pr2AsAu3
1.0
5.942 0.862 0.000
0.495 5.984 0.000
-3.218 -3.423 8.083
Pr Au As
4 6 2
Cartesian
4.637 2.090 0.000
0.247 2.992 4.041
2.971 0.431 4.041
1.800 4.757 0.000
1.571 1.671 6.708
4.789 5.094 1.375
-1.571 -1.671 6.708
0.000 0.000 2.726
1.648 1.753 1.375
3.218 3.423 5.357
3.218 3.423 2.687
0.000 0.000 5.395
```

***

No. 13
A plane-wave DFT calculation with PBE was carried out for a geometry-optimized Pr2AsAu structure.

Results
The space-group type is No. 123. The value obtained for the energy relative to the elements is -90.8 kJ per mole of atoms.

The structure in POSCAR format:
```
Pr2AsAu
1.0
-2.441 -1.631 -2.400
-0.646 -2.752 2.527
-5.352 3.852 2.827
Pr As Au
2 1 1
Cartesian
-4.074 2.932 2.152
-1.278 0.920 0.675
-1.543 -2.191 0.064
-4.220 -0.265 1.477
```

***

No. 14
A plane-wave DFT calculation with PBE was carried out for a geometry-optimized PrAsPt2Au2 structure.

Results
The space-group type is No. 139. The value obtained for the energy relative to the elements is 25.7 kJ per mole of atoms.

The structure in POSCAR format:
```
PrAsPt2Au2
1.0
-2.294 0.057 3.583
3.247 -1.765 2.107
2.657 8.864 -0.965
Pt Au Pr As
2 2 1 1
Cartesian
1.453 1.641 3.431
2.158 5.515 1.294
3.191 3.122 1.994
0.420 4.033 2.731
0.477 -0.854 2.845
0.000 0.000 0.000
```

***

No. 15
A plane-wave DFT calculation with PBE was carried out for a geometry-optimized PrPuAsAu structure.

Results
The space-group type is No. 216. The value obtained for the energy relative to the elements is -72.0 kJ per mole of atoms.

The structure in POSCAR format:
```
PrPuAsAu
1.0
5.194 0.000 0.000
2.597 4.498 0.000
2.597 1.499 4.241
Pu As Au Pr
1 1 1 1
Cartesian
2.597 1.499 1.060
0.000 0.000 0.000
5.194 2.999 2.121
7.791 4.498 3.181
```

***

No. 16
A plane-wave DFT calculation with PBE was carried out for a geometry-optimized PrAs2Rh5Au structure.

Results
The space-group type is No. 123. The value obtained for the energy relative to the elements is -27.7 kJ per mole of atoms.

The structure in POSCAR format:
```
PrAs2Rh5Au
1.0
-2.871 -2.584 1.784
-0.878 -1.661 -3.818
6.210 -6.065 1.210
Rh Pr Au As
5 1 1 2
Cartesian
4.165 -5.327 -1.012
0.170 -2.860 1.205
1.167 -2.399 -1.596
1.231 -5.155 -0.412
3.169 -5.789 1.789
3.105 -3.033 0.605
0.000 0.000 0.000
3.467 -7.338 0.024
-1.005 -2.971 -0.847
```

***

No. 17
A plane-wave DFT calculation with PBE was carried out for a geometry-optimized Pr4Te2AsAu structure.

Results
The space-group type is No. 10. For the energy, the calculation gives -5.459 eV per atom.

The structure in POSCAR format:
```
Pr4Te2AsAu
1.0
4.368 0.000 0.000
0.000 7.734 0.182
0.000 -2.656 7.264
Te Au As Pr
2 1 1 4
Cartesian
0.000 2.539 3.723
2.184 -1.328 3.632
2.184 3.867 0.091
0.000 0.000 0.000
2.184 1.211 1.703
2.184 3.866 5.743
0.000 -0.095 5.627
0.000 5.173 1.819
```

***

No. 18
A plane-wave DFT calculation with PBE was carried out for a geometry-optimized Pr6Te3As2Au structure.

Results
The space-group type is No. 12. For the energy, the calculation gives -5.604 eV per atom.

The structure in POSCAR format:
```
Pr6Te3As2Au
1.0
7.649 -0.002 -0.003
-3.824 6.624 -0.003
-1.280 -2.216 7.289
As Pr Au Te
2 6 1 3
Cartesian
3.822 2.208 -0.003
0.002 4.414 -0.003
3.859 2.141 5.617
-1.314 2.266 1.664
-0.074 4.412 5.617
2.619 -0.006 1.664
0.033 0.057 5.626
2.512 4.349 1.656
0.000 0.000 0.000
1.272 2.203 3.641
5.108 -0.012 3.641
-2.563 4.418 3.641
```

***

No. 19
A plane-wave DFT calculation with PBE was carried out for a geometry-optimized AsPtAu2 structure.

Results
The space-group type is No. 71. The value obtained for the energy relative to the elements is 10.4 kJ per mole of atoms.

The structure in POSCAR format:
```
AsPtAu2
1.0
5.666 0.032 0.095
2.845 4.901 -0.095
-3.693 -3.437 2.582
Au As Pt
2 1 1
Cartesian
4.216 2.443 0.000
0.039 0.023 0.000
1.704 1.965 1.244
3.114 -0.469 1.338
```

***

No. 20
A plane-wave DFT calculation with PBE was carried out for a geometry-optimized AsPt2Au2 structure.

Results
The space-group type is No. 139. The energy relative to the lowest polymorph listed for this composition is 0.280 eV per atom. The value obtained for the energy relative to the elements is 32.6 kJ per mole of atoms.

The structure in POSCAR format:
```
AsPt2Au2
1.0
2.140 -5.233 4.772
-1.769 -6.975 1.720
1.570 5.228 -4.994
As Pt Au
1 2 2
Cartesian
0.000 0.000 0.000
-0.007 -3.926 -0.015
1.948 -3.055 1.512
0.222 -7.308 3.886
0.149 -4.901 2.606
```

***

no.,size of the total moment (μB per cell)
1,0.000
2,0.000
3,0.000
4,0.000
5,0.000
6,0.000
7,0.000
8,0.000
9,0.000
10,0.000
11,0.008
12,0.000
13,0.000
14,0.000
15,6.867
16,0.000
17,0.000
18,0.000
19,0.000
20,0.000